[1]
Er8PC3S4 after structural relaxation. Source: Alexandria, functional GGA-PBE.

Computed properties:
Formation energy without anion corrections: -1.4378 eV per atom
Space-group type: R-3m

a = 7.645 Å, b = 7.645 Å, c = 7.645 Å
α = 58.71°, β = 58.71°, γ = 58.71°
Sites, in units of the cell vectors:
Er 0.223 0.748 0.748
Er 0.237 0.237 0.237
Er 0.252 0.252 0.777
Er 0.252 0.777 0.252
Er 0.748 0.223 0.748
Er 0.748 0.748 0.223
Er 0.763 0.763 0.763
Er 0.777 0.252 0.252
P 0.500 0.500 0.500
C 0.000 0.000 0.500
C 0.000 0.500 0.000
C 0.500 0.000 0.000
S 0.000 0.000 0.000
S 0.000 0.500 0.500
S 0.500 0.000 0.500
S 0.500 0.500 0.000

[2]
Er6PC2S3 after structural relaxation. Source: Alexandria, functional GGA-PBE.

Computed properties:
Formation energy without anion corrections: -1.4939 eV per atom
Space-group type: C2/m

a = 8.525 Å, b = 8.525 Å, c = 7.702 Å
α = 103.98°, β = 103.98°, γ = 25.44°
Sites, in units of the cell vectors:
Er 0.015 0.015 0.256
Er 0.324 0.324 0.437
Er 0.331 0.331 0.884
Er 0.669 0.669 0.116
Er 0.676 0.676 0.563
Er 0.985 0.985 0.744
P 0.500 0.500 0.000
C 0.169 0.169 0.337
C 0.831 0.831 0.663
S 0.163 0.163 0.833
S 0.500 0.500 0.500
S 0.837 0.837 0.167

[3]
Er5Sb2PC after structural relaxation. Source: Alexandria, functional GGA-PBE.

Computed properties:
Formation energy without anion corrections: -0.8423 eV per atom
Space-group type: P4/mmm

a = 4.557 Å, b = 4.557 Å, c = 10.735 Å
α = 90.00°, β = 90.00°, γ = 90.00°
Sites, in units of the cell vectors:
Er 0.000 0.000 0.000
Er 0.000 0.500 0.500
Er 0.500 0.000 0.500
Er 0.500 0.500 0.252
Er 0.500 0.500 0.748
Sb 0.000 0.000 0.287
Sb 0.000 0.000 0.713
P 0.500 0.500 0.000
C 0.500 0.500 0.500

[4]
Er8P3CSe4 after structural relaxation. Source: Alexandria, functional GGA-PBE.

Computed properties:
Formation energy without anion corrections: -1.6116 eV per atom
Space-group type: R-3m

a = 7.994 Å, b = 7.994 Å, c = 7.994 Å
α = 58.92°, β = 58.92°, γ = 58.92°
Sites, in units of the cell vectors:
Er 0.243 0.243 0.243
Er 0.260 0.728 0.728
Er 0.272 0.272 0.740
Er 0.272 0.740 0.272
Er 0.728 0.260 0.728
Er 0.728 0.728 0.260
Er 0.740 0.272 0.272
Er 0.757 0.757 0.757
P 0.000 0.000 0.500
P 0.000 0.500 0.000
P 0.500 0.000 0.000
C 0.500 0.500 0.500
Se 0.000 0.000 0.000
Se 0.000 0.500 0.500
Se 0.500 0.000 0.500
Se 0.500 0.500 0.000

[5]
Er6PC2Se3 after structural relaxation. Source: Alexandria, functional GGA-PBE.

Computed properties:
Formation energy without anion corrections: -1.3779 eV per atom
Space-group type: C2/m

a = 8.748 Å, b = 8.748 Å, c = 7.914 Å
α = 105.06°, β = 105.06°, γ = 25.16°
Sites, in units of the cell vectors:
Er 0.018 0.018 0.251
Er 0.321 0.321 0.442
Er 0.332 0.332 0.878
Er 0.668 0.668 0.122
Er 0.679 0.679 0.558
Er 0.982 0.982 0.749
P 0.500 0.500 0.000
C 0.169 0.169 0.337
C 0.831 0.831 0.663
Se 0.162 0.162 0.832
Se 0.500 0.500 0.500
Se 0.838 0.838 0.168

[6]
Er8P3CSe3 after structural relaxation. Source: Alexandria, functional GGA-PBE.

Computed properties:
Formation energy without anion corrections: -1.4356 eV per atom
Space-group type: R-3m

a = 7.981 Å, b = 7.981 Å, c = 7.981 Å
α = 58.95°, β = 58.95°, γ = 58.95°
Sites, in units of the cell vectors:
Er 0.243 0.243 0.243
Er 0.264 0.725 0.725
Er 0.275 0.275 0.736
Er 0.275 0.736 0.275
Er 0.725 0.264 0.725
Er 0.725 0.725 0.264
Er 0.736 0.275 0.275
Er 0.757 0.757 0.757
P 0.000 0.000 0.500
P 0.000 0.500 0.000
P 0.500 0.000 0.000
C 0.500 0.500 0.500
Se 0.000 0.500 0.500
Se 0.500 0.000 0.500
Se 0.500 0.500 0.000

[7]
Er8PC3Se3 after structural relaxation. Source: Alexandria, functional GGA-PBE.

Computed properties:
Formation energy without anion corrections: -1.1539 eV per atom
Space-group type: R-3m

a = 7.763 Å, b = 7.763 Å, c = 7.763 Å
α = 57.98°, β = 57.98°, γ = 57.98°
Sites, in units of the cell vectors:
Er 0.215 0.750 0.750
Er 0.234 0.234 0.234
Er 0.250 0.250 0.785
Er 0.250 0.785 0.250
Er 0.750 0.215 0.750
Er 0.750 0.750 0.215
Er 0.766 0.766 0.766
Er 0.785 0.250 0.250
P 0.500 0.500 0.500
C 0.000 0.000 0.500
C 0.000 0.500 0.000
C 0.500 0.000 0.000
Se 0.000 0.500 0.500
Se 0.500 0.000 0.500
Se 0.500 0.500 0.000

[8]
ErTc2PC after structural relaxation. Source: Alexandria, functional GGA-PBE.

Computed properties:
Energy of formation: -14.31 kcal/mol of atoms
Space-group type: Cmcm

a = 5.847 Å, b = 5.847 Å, c = 7.142 Å
α = 90.00°, β = 90.00°, γ = 142.15°
Sites, in units of the cell vectors:
Er 0.041 0.959 0.750
Er 0.959 0.041 0.250
Tc 0.331 0.669 0.559
Tc 0.331 0.669 0.941
Tc 0.669 0.331 0.059
Tc 0.669 0.331 0.441
P 0.234 0.766 0.250
P 0.766 0.234 0.750
C 0.500 0.500 0.000
C 0.500 0.500 0.500

[9]
Er8Te3P3C after structural relaxation. Source: Alexandria, functional GGA-PBE.

Computed properties:
Formation energy without anion corrections: -1.2248 eV per atom
Space-group type: C2/m

a = 7.971 Å, b = 7.971 Å, c = 8.409 Å
α = 118.27°, β = 118.27°, γ = 60.05°
Sites, in units of the cell vectors:
Er 0.216 0.216 0.693
Er 0.216 0.761 0.693
Er 0.239 0.784 0.307
Er 0.265 0.265 0.295
Er 0.735 0.735 0.705
Er 0.761 0.216 0.693
Er 0.784 0.239 0.307
Er 0.784 0.784 0.307
Te 0.000 0.000 0.000
Te 0.000 0.500 0.000
Te 0.500 0.000 0.000
P 0.000 0.500 0.500
P 0.500 0.000 0.500
P 0.500 0.500 0.500
C 0.000 0.000 0.500

[10]
Er6Te3PC2 after structural relaxation. Source: Alexandria, functional GGA-PBE.

Computed properties:
Formation energy without anion corrections: -1.0958 eV per atom
Space-group type: C2/m

a = 6.757 Å, b = 6.757 Å, c = 7.297 Å
α = 98.90°, β = 98.90°, γ = 119.97°
Sites, in units of the cell vectors:
Er 0.078 0.435 0.805
Er 0.207 0.207 0.191
Er 0.435 0.078 0.805
Er 0.565 0.922 0.195
Er 0.793 0.793 0.809
Er 0.922 0.565 0.195
Te 0.000 0.000 0.500
Te 0.340 0.660 0.500
Te 0.660 0.340 0.500
P 0.500 0.500 0.000
C 0.167 0.833 0.000
C 0.833 0.167 0.000

[11]
ErPa5C6 after structural relaxation. Source: Alexandria, functional GGA-PBE.

Computed properties:
Energy of formation: -10.12 kcal/mol of atoms
Space-group type: C2/m

a = 6.229 Å, b = 6.229 Å, c = 6.235 Å
α = 99.59°, β = 99.59°, γ = 120.04°
Sites, in units of the cell vectors:
Er 0.000 0.000 0.000
Pa 0.166 0.834 0.500
Pa 0.333 0.667 0.000
Pa 0.500 0.500 0.500
Pa 0.667 0.333 0.000
Pa 0.834 0.166 0.500
C 0.085 0.430 0.257
C 0.262 0.262 0.748
C 0.430 0.085 0.257
C 0.570 0.915 0.743
C 0.738 0.738 0.252
C 0.915 0.570 0.743

[12]
Er2PaC after structural relaxation. Source: Alexandria, functional GGA-PBE.

Computed properties:
Energy of formation: 1.29 kcal/mol of atoms
Space-group type: R-3m

a = 3.369 Å, b = 3.369 Å, c = 28.464 Å
α = 90.00°, β = 90.00°, γ = 120.00°
Sites, in units of the cell vectors:
Er 0.000 0.000 0.119
Er 0.000 0.000 0.881
Er 0.333 0.667 0.548
Er 0.333 0.667 0.785
Er 0.667 0.333 0.215
Er 0.667 0.333 0.452
Pa 0.000 0.000 0.000
Pa 0.333 0.667 0.667
Pa 0.667 0.333 0.333
C 0.000 0.000 0.500
C 0.333 0.667 0.167
C 0.667 0.333 0.833

Number 1: total DFT energy (no corrections) -6.8186 eV/atom, magnetization 0.0 μB/f.u.. Number 2: total DFT energy (no corrections) -6.7953 eV/atom, magnetization 0.0 μB/f.u.. Number 3: total DFT energy (no corrections) -5.9193 eV/atom, magnetization 0.0 μB/f.u.. Number 4: total DFT energy (no corrections) -6.3550 eV/atom, magnetization 0.0 μB/f.u.. Number 5: total DFT energy (no corrections) -6.5186 eV/atom, magnetization 0.0 μB/f.u.. Number 6: total DFT energy (no corrections) -6.2629 eV/atom, magnetization 0.0 μB/f.u.. Number 7: total DFT energy (no corrections) -6.4897 eV/atom, magnetization 0.0 μB/f.u.. Number 8: total DFT energy (no corrections) -8.6063 eV/atom, magnetization 0.0 μB/f.u.. Number 9: total DFT energy (no corrections) -5.9836 eV/atom, magnetization 0.5 μB/f.u.. Number 10: total DFT energy (no corrections) -6.1508 eV/atom, magnetization 0.0 μB/f.u.. Number 11: total DFT energy (no corrections) -9.3877 eV/atom, magnetization 0.0 μB/f.u.. Number 12: total DFT energy (no corrections) -6.9055 eV/atom, magnetization 0.0 μB/f.u..